## Lu3AlNi8 (PBE)

Data for a geometry-optimized Lu3AlNi8 structure.

The structure in POSCAR format:
```
Lu3AlNi8
1.0
2.502 -4.334 0.000
2.502 4.334 0.000
0.000 0.000 15.893
Al Ni Lu
2 16 6
direct
0.000 0.000 0.500
0.000 0.000 0.000
0.169 0.831 0.124
0.169 0.831 0.376
0.169 0.339 0.376
0.000 0.000 0.250
0.339 0.169 0.624
0.169 0.339 0.124
0.333 0.667 0.250
0.339 0.169 0.876
0.661 0.831 0.376
0.831 0.169 0.624
0.831 0.661 0.624
0.831 0.169 0.876
0.661 0.831 0.124
0.000 0.000 0.750
0.667 0.333 0.750
0.831 0.661 0.876
0.333 0.667 0.956
0.333 0.667 0.750
0.333 0.667 0.544
0.667 0.333 0.250
0.667 0.333 0.044
0.667 0.333 0.456
```

Energy above the most stable polymorph in this dataset, eV per atom: 0.018
SG: P6_3/mmc
Energy relative to the elements, kJ/mol of atoms: -48
M_tot, μB/f.u.: 0.00
Crystal system: hexagonal

## ThScIn (PBE)

Data for a geometry-optimized ThScIn structure.

The structure in POSCAR format:
```
ThScIn
1.0
-1.886 2.635 -1.579
1.782 -1.489 -4.613
-4.376 -2.022 1.853
Th Sc In
1 1 1
direct
0.334 0.333 0.667
0.837 0.000 0.000
0.828 0.667 0.333
```

Energy above the most stable polymorph in this dataset, eV per atom: 0.171
SG: P3m1
Energy relative to the elements, kJ/mol of atoms: -12
M_tot, μB/f.u.: 0.00
Crystal system: trigonal

## AcMg9Ga2 (PBE)

Data for a geometry-optimized AcMg9Ga2 structure.

The structure in POSCAR format:
```
AcMg9Ga2
1.0
7.056 0.000 3.249
3.528 8.503 1.624
-0.028 0.000 9.348
Ga Mg Ac
4 18 2
direct
0.875 0.750 0.250
0.875 0.250 0.250
0.875 0.250 0.750
0.375 0.750 0.750
0.742 0.578 0.822
0.070 0.322 0.922
0.436 0.822 0.422
0.070 0.922 0.322
0.608 0.322 0.078
0.608 0.078 0.322
0.680 0.178 0.578
0.142 0.178 0.422
0.142 0.422 0.178
0.008 0.678 0.922
0.750 0.500 0.500
0.680 0.578 0.178
0.008 0.922 0.678
0.000 0.000 0.000
0.314 0.078 0.678
0.742 0.822 0.578
0.436 0.422 0.822
0.314 0.678 0.078
0.250 0.500 0.500
0.500 0.000 0.000
```

SG: I4_1/amd
Energy relative to the elements, kJ/mol of atoms: -13
M_tot, μB/f.u.: 0.00
Crystal system: tetragonal

## LiCu2Se2 (PBE)

Data for a geometry-optimized LiCu2Se2 structure.

The structure in POSCAR format:
```
LiCu2Se2
1.0
-0.634 -1.193 -3.500
-2.719 -2.257 1.262
-6.085 3.109 -1.969
Cu Se Li
2 2 1
direct
0.250 0.750 0.500
0.750 0.250 0.500
0.373 0.373 0.255
0.627 0.627 0.745
0.000 0.000 0.000
```

SG: I4/mmm
M_tot, μB/f.u.: 0.00
Energy relative to the elements, uncorrected, eV per atom: -0.3859
Crystal system: tetragonal